Record 1
Material: LiTl2Br4
Method: DFT, PBE-GGA
State: relaxed

Unit cell a=7.550 b=7.550 c=4.558 alpha=90.00 beta=90.00 gamma=90.00
Sites, in units of the cell vectors:
Li (0.000, 0.000, 0.000)
Tl (0.000, 0.500, 0.500)
Tl (0.500, 0.000, 0.500)
Br (0.229, 0.229, 0.193)
Br (0.229, 0.771, 0.807)
Br (0.771, 0.229, 0.807)
Br (0.771, 0.771, 0.193)

Summary:
For the density, the calculation gives 4.7 Mg/m³. The formation energy from raw total energies is -0.86 eV per atom. The total moment comes out at 0.00 Bohr magnetons per cell. The calculation puts the energy relative to the lowest polymorph listed for this composition at 0.00 kcal/mol of atoms.

---

Record 2
Material: LiTlBr2
Method: DFT, PBE-GGA
State: relaxed

Unit cell a=3.962 b=3.962 c=8.111 alpha=90.00 beta=90.00 gamma=90.00
Sites, in units of the cell vectors:
Li (0.000, 0.000, 0.000)
Tl (0.500, 0.500, 0.492)
Br (0.000, 0.000, 0.681)
Br (0.500, 0.500, 0.069)

Summary:
For the density, the calculation gives 4.8 Mg/m³. The formation energy from raw total energies is -1.10 eV per atom. The total moment comes out at 0.00 Bohr magnetons per cell. The calculation puts the energy relative to the lowest polymorph listed for this composition at 1.67 kcal/mol of atoms.

---

Record 3
Material: LiTlBr4
Method: DFT, PBE-GGA
State: relaxed

Unit cell a=7.188 b=7.188 c=7.188 alpha=128.50 beta=128.50 gamma=75.81
Sites, in units of the cell vectors:
Li (0.000, 0.000, 0.000)
Tl (0.750, 0.250, 0.500)
Br (0.124, 0.630, 0.990)
Br (0.370, 0.359, 0.494)
Br (0.641, 0.135, 0.010)
Br (0.865, 0.876, 0.506)

Summary:
For the density, the calculation gives 4.0 Mg/m³. The formation energy from raw total energies is -0.83 eV per atom. The total moment comes out at 0.00 Bohr magnetons per cell. The calculation puts the energy relative to the lowest polymorph listed for this composition at 0.00 kcal/mol of atoms.

---

Record 4
Material: LiTlBr
Method: DFT, PBE-GGA
State: relaxed

Unit cell a=7.344 b=7.340 c=3.552 alpha=76.06 beta=75.94 gamma=28.00
Sites, in units of the cell vectors:
Li (0.000, 0.000, 0.000)
Tl (0.704, 0.704, 0.296)
Br (0.460, 0.460, 0.540)

Summary:
For the density, the calculation gives 5.6 Mg/m³. The formation energy from raw total energies is -0.78 eV per atom. The total moment comes out at 0.00 Bohr magnetons per cell. The calculation puts the energy relative to the lowest polymorph listed for this composition at 0.00 kcal/mol of atoms.

---

Record 5
Material: LiTl2Br8
Method: DFT, PBE-GGA
State: relaxed

Unit cell a=8.334 b=8.334 c=6.496 alpha=99.65 beta=99.65 gamma=70.96
Sites, in units of the cell vectors:
Li (0.000, 0.000, 0.000)
Tl (0.191, 0.191, 0.647)
Tl (0.809, 0.809, 0.353)
Br (0.126, 0.718, 0.249)
Br (0.184, 0.184, 0.238)
Br (0.282, 0.874, 0.751)
Br (0.378, 0.378, 0.825)
Br (0.622, 0.622, 0.175)
Br (0.718, 0.126, 0.249)
Br (0.816, 0.816, 0.762)
Br (0.874, 0.282, 0.751)

Summary:
For the density, the calculation gives 4.2 Mg/m³. The formation energy from raw total energies is -0.52 eV per atom. The total moment comes out at 1.11 Bohr magnetons per cell.

---

Record 6
Material: LiTl2Br
Method: DFT, PBE-GGA
State: relaxed

Unit cell a=5.483 b=5.483 c=5.483 alpha=60.00 beta=60.00 gamma=60.00
Sites, in units of the cell vectors:
Li (0.000, 0.000, 0.000)
Tl (0.250, 0.250, 0.250)
Tl (0.500, 0.500, 0.500)
Br (0.750, 0.750, 0.750)

Summary:
For the density, the calculation gives 7.1 Mg/m³. The formation energy from raw total energies is -0.22 eV per atom. The total moment comes out at 0.00 Bohr magnetons per cell. The calculation puts the energy relative to the lowest polymorph listed for this composition at 8.36 kcal/mol of atoms.

---

Record 7
Material: LiTlBr2
Method: DFT, PBE-GGA
State: relaxed

Unit cell a=8.724 b=8.724 c=8.724 alpha=33.21 beta=33.21 gamma=33.21
Sites, in units of the cell vectors:
Li (0.000, 0.000, 0.000)
Tl (0.500, 0.500, 0.500)
Br (0.095, 0.095, 0.095)
Br (0.905, 0.905, 0.905)

Summary:
For the density, the calculation gives 3.5 Mg/m³. The formation energy from raw total energies is -1.06 eV per atom. The total moment comes out at 0.00 Bohr magnetons per cell. The calculation puts the energy relative to the lowest polymorph listed for this composition at 2.75 kcal/mol of atoms.

---

Record 8
Material: LiTlBr2
Method: DFT, PBE-GGA
State: relaxed

Unit cell a=5.930 b=5.930 c=5.930 alpha=139.81 beta=106.63 gamma=87.13
Sites, in units of the cell vectors:
Li (0.000, 0.000, 0.000)
Tl (0.500, 0.500, 0.000)
Br (0.201, 0.701, 0.500)
Br (0.799, 0.299, 0.500)

Summary:
For the density, the calculation gives 5.0 Mg/m³. The formation energy from raw total energies is -1.06 eV per atom. The total moment comes out at 0.00 Bohr magnetons per cell. The calculation puts the energy relative to the lowest polymorph listed for this composition at 2.65 kcal/mol of atoms.

---

Record 9
Material: LiTl3Br9
Method: DFT, PBE-GGA
State: relaxed

Unit cell a=11.717 b=11.717 c=14.653 alpha=128.46 beta=128.46 gamma=47.69
Sites, in units of the cell vectors:
Li (0.249, 0.751, 0.500)
Li (0.751, 0.249, 0.000)
Tl (0.108, 0.276, 0.657)
Tl (0.276, 0.108, 0.157)
Tl (0.554, 0.657, 0.842)
Tl (0.657, 0.554, 0.342)
Tl (0.804, 0.893, 0.450)
Tl (0.893, 0.804, 0.950)
Br (0.032, 0.197, 0.195)
Br (0.140, 0.743, 0.144)
Br (0.197, 0.032, 0.695)
Br (0.245, 0.915, 0.925)
Br (0.294, 0.404, 0.771)
Br (0.296, 0.613, 0.612)
Br (0.404, 0.294, 0.271)
Br (0.423, 0.759, 0.459)
Br (0.522, 0.859, 0.265)
Br (0.611, 0.946, 0.979)
Br (0.613, 0.296, 0.112)
Br (0.743, 0.140, 0.644)
Br (0.759, 0.423, 0.959)
Br (0.812, 0.955, 0.828)
Br (0.859, 0.522, 0.765)
Br (0.915, 0.245, 0.425)
Br (0.946, 0.611, 0.479)
Br (0.955, 0.812, 0.328)

Summary:
For the density, the calculation gives 4.1 Mg/m³. The formation energy from raw total energies is -0.60 eV per atom. The total moment comes out at 0.00 Bohr magnetons per cell.

---

Record 10
Material: LiTlBr2
Method: DFT, PBE-GGA
State: relaxed

Unit cell a=4.073 b=4.280 c=7.959 alpha=90.00 beta=103.88 gamma=90.00
Sites, in units of the cell vectors:
Li (0.000, 0.000, 0.000)
Tl (0.256, 0.500, 0.477)
Br (0.584, 0.000, 0.179)
Br (0.847, 0.000, 0.684)

Summary:
For the density, the calculation gives 4.6 Mg/m³. The formation energy from raw total energies is -1.13 eV per atom. The total moment comes out at 0.00 Bohr magnetons per cell. The calculation puts the energy relative to the lowest polymorph listed for this composition at 1.06 kcal/mol of atoms.

---

Record 11
Material: Li3Tl2Br5
Method: DFT, PBE-GGA
State: relaxed

Unit cell a=7.676 b=7.676 c=10.269 alpha=115.90 beta=115.90 gamma=32.22
Sites, in units of the cell vectors:
Li (0.000, 0.000, 0.000)
Li (0.438, 0.438, 0.694)
Li (0.562, 0.562, 0.306)
Tl (0.181, 0.181, 0.746)
Tl (0.819, 0.819, 0.254)
Br (0.148, 0.148, 0.290)
Br (0.398, 0.398, 0.068)
Br (0.500, 0.500, 0.500)
Br (0.602, 0.602, 0.932)
Br (0.852, 0.852, 0.710)

Summary:
For the density, the calculation gives 4.8 Mg/m³. The formation energy from raw total energies is -1.25 eV per atom. The total moment comes out at 0.00 Bohr magnetons per cell.

---

Record 12
Material: LiTl2Br
Method: DFT, PBE-GGA
State: relaxed

Unit cell a=6.254 b=6.254 c=6.254 alpha=136.33 beta=136.33 gamma=63.46
Sites, in units of the cell vectors:
Li (0.000, 0.000, 0.000)
Tl (0.250, 0.750, 0.500)
Tl (0.500, 0.500, 0.000)
Br (0.750, 0.250, 0.500)

Summary:
For the density, the calculation gives 7.2 Mg/m³. The formation energy from raw total energies is -0.35 eV per atom. The total moment comes out at 0.00 Bohr magnetons per cell. The calculation puts the energy relative to the lowest polymorph listed for this composition at 5.31 kcal/mol of atoms.

---

Q: What is the total moment in the twelfth record?
A: 0.00 Bohr magnetons per cell